1.
Cs2HgN2: single point on PBEsol structure, SCAN.

Structure (POSCAR):
```
Cs2HgN2
1.0
-1.155 1.165 3.495
6.014 -5.050 3.672
5.680 6.542 -0.304
Cs Hg N
4 2 4
Cartesian
4.967 4.199 2.374
8.186 1.919 4.198
5.572 -1.541 4.488
2.352 0.739 2.664
0.000 0.000 0.000
5.847 0.746 1.684
8.127 3.946 1.370
8.838 -1.224 3.329
3.567 -2.454 1.997
2.856 2.716 0.038
```

Properties
Its crystal system is tetragonal. As for the uncorrected formation energy: -200 meV/atom. The total magnetic moment comes out at 1.1 μB/f.u. As for the uncorrected energy: -326.73 eV for the cell shown.

---

2.
NdCoGe: single point on PBEsol structure, SCAN.

Structure (POSCAR):
```
NdCoGe
1.0
-1.487 0.602 -3.747
2.905 -2.409 -1.540
-4.084 -5.405 0.752
Nd Ge Co
2 2 2
Cartesian
-1.868 -5.599 -0.159
-1.508 -0.710 -1.733
0.161 -2.913 -0.532
-3.536 -3.395 -1.359
-1.333 -3.606 -2.267
-2.042 -2.703 0.376
```

Properties
Its crystal system is tetragonal. The total magnetic moment comes out at 0.4 μB/f.u. As for the uncorrected energy: -163.70 eV for the cell shown. The energy of formation from the pure elements is -1.88 eV per formula unit.

---

3.
InCuAu: single point on PBEsol structure, SCAN.

Structure (POSCAR):
```
InCuAu
1.0
4.274 0.000 0.000
2.137 3.701 0.000
2.137 1.234 3.489
Au Cu In
1 1 1
Cartesian
4.274 2.467 1.745
2.137 1.234 0.872
0.000 0.000 0.000
```

Properties
For the energy above the lowest structure with this stoichiometry, the calculation gives 0.001 eV per atom. Its crystal system is cubic. The total magnetic moment comes out at 0.0 μB/f.u. As for the uncorrected energy: -118.00 eV for the cell shown. The energy of formation from the pure elements is -0.25 eV per formula unit.

---

4.
CoPW: single point on PBEsol structure, SCAN.

Structure (POSCAR):
```
CoPW
1.0
-3.509 1.049 0.598
-1.052 -5.004 2.600
1.795 2.664 5.854
P Co W
4 4 4
Cartesian
-1.862 -0.719 7.598
-1.801 1.093 4.781
-0.904 -0.572 1.455
-0.965 -2.384 4.272
-1.656 -3.845 2.786
-2.286 -0.911 5.452
-0.480 -0.380 3.601
-1.111 2.554 6.267
-2.071 1.511 2.464
-2.886 -1.419 2.823
0.120 0.128 6.230
-0.695 -2.802 6.589
```

Properties
Its crystal system is orthorhombic. The total magnetic moment comes out at 0.0 μB/f.u. As for the uncorrected energy: -393.49 eV for the cell shown. The energy of formation from the pure elements is -0.98 eV per formula unit.

---

5.
MnCoAu2: single point on PBEsol structure, SCAN.

Structure (POSCAR):
```
MnCoAu2
1.0
-2.815 -2.383 1.147
0.486 -2.113 -3.197
3.764 0.063 2.864
Au Co Mn
2 1 1
Cartesian
-0.108 -2.284 1.493
1.542 -2.149 -0.679
-1.165 -2.248 -1.025
0.000 0.000 0.000
```

Properties
Its crystal system is tetragonal. The total magnetic moment comes out at 6.0 μB/f.u. As for the uncorrected energy: -174.56 eV for the cell shown. The energy of formation from the pure elements is -0.69 eV per formula unit.

---

6.
InPbO2: single point on PBEsol structure, SCAN.

Structure (POSCAR):
```
InPbO2
1.0
-0.109 -0.542 3.265
2.792 0.041 1.779
0.088 6.684 2.791
Pb O In
1 2 1
Cartesian
0.000 0.000 0.000
2.406 1.855 5.426
0.365 4.327 2.409
1.385 3.091 3.917
```

Properties
Its crystal system is trigonal. As for the uncorrected formation energy: -1348 meV/atom. The total magnetic moment comes out at 0.0 μB/f.u. As for the uncorrected energy: -127.02 eV for the cell shown.

---

7.
BaMnIN2: single point on PBEsol structure, SCAN.

Structure (POSCAR):
```
BaMnIN2
1.0
4.591 0.000 0.000
0.000 4.591 0.000
0.000 0.000 6.680
I Mn Ba N
1 1 1 2
Cartesian
0.000 0.000 3.340
2.296 2.296 3.340
0.000 0.000 0.000
0.000 2.296 0.000
2.296 0.000 0.000
```

Properties
Its crystal system is tetragonal. As for the uncorrected formation energy: 1320 meV/atom. The total magnetic moment comes out at 6.9 μB/f.u. As for the uncorrected energy: -106.53 eV for the cell shown.

---

8.
CaSi2Mo: single point on PBEsol structure, SCAN.

Structure (POSCAR):
```
CaSi2Mo
1.0
4.521 0.000 0.000
2.260 3.915 0.000
2.260 1.305 3.691
Ca Mo Si
1 1 2
Cartesian
0.000 0.000 0.000
4.521 2.610 1.846
6.781 3.915 2.768
2.260 1.305 0.923
```

Properties
For the energy above the lowest structure with this stoichiometry, the calculation gives 0.000 eV per atom. Its crystal system is cubic. As for the uncorrected formation energy: 219 meV/atom. The total magnetic moment comes out at 1.7 μB/f.u. As for the uncorrected energy: -63.71 eV for the cell shown.

---

9.
Cu2TeW: single point on PBEsol structure, SCAN.

Structure (POSCAR):
```
Cu2TeW
1.0
3.237 0.000 0.000
0.000 3.237 0.000
0.000 0.000 5.828
Cu Te W
2 1 1
Cartesian
0.000 0.000 0.149
1.618 1.618 1.215
0.000 0.000 2.927
1.618 1.618 4.449
```

Properties
Its crystal system is tetragonal. As for the uncorrected formation energy: 458 meV/atom. The total magnetic moment comes out at 0.0 μB/f.u. As for the uncorrected energy: -135.50 eV for the cell shown.

---

10.
B3SbP: single point on PBEsol structure, SCAN.

Structure (POSCAR):
```
B3SbP
1.0
-3.078 2.941 1.122
-1.863 -2.967 2.666
2.537 1.389 3.319
Sb B P
1 3 1
Cartesian
0.000 0.000 0.000
-0.932 -1.483 1.333
1.269 0.695 1.659
-1.539 1.471 0.561
-1.202 0.682 3.553
```

Properties
Its crystal system is cubic. As for the uncorrected formation energy: 2416 meV/atom. The total magnetic moment comes out at 0.0 μB/f.u. As for the uncorrected energy: -57.87 eV for the cell shown.

---

11.
ZrFeRh: single point on PBEsol structure, SCAN.

Structure (POSCAR):
```
ZrFeRh
1.0
4.255 0.000 0.000
2.128 3.685 0.000
2.128 1.228 3.474
Fe Rh Zr
1 1 1
Cartesian
4.255 2.457 1.737
2.128 1.228 0.869
0.000 0.000 0.000
```

Properties
Its crystal system is cubic. The total magnetic moment comes out at 3.1 μB/f.u. As for the uncorrected energy: -83.05 eV for the cell shown. The energy of formation from the pure elements is -0.45 eV per formula unit.

---

12.
Sr2NiPb: single point on PBEsol structure, SCAN.

Structure (POSCAR):
```
Sr2NiPb
1.0
-0.318 -2.771 2.353
-0.944 -2.218 -2.739
8.635 -2.085 -1.288
Ni Pb Sr
1 1 2
Cartesian
4.879 -1.178 -0.728
5.221 -3.907 -1.066
8.064 -1.947 -1.203
2.160 -3.169 -0.610
```

Properties
Its crystal system is tetragonal. The total magnetic moment comes out at 0.1 μB/f.u. As for the uncorrected energy: -136.59 eV for the cell shown. The energy of formation from the pure elements is -0.09 eV per formula unit.

---

13.
UCoB4: single point on PBEsol structure, SCAN.

Structure (POSCAR):
```
UCoB4
1.0
3.302 0.000 0.000
0.000 5.854 0.000
0.000 0.000 11.362
U Co B
4 4 16
Cartesian
0.000 3.669 3.969
0.000 2.184 7.392
0.000 0.743 1.711
0.000 5.111 9.650
0.000 3.689 0.978
0.000 2.164 10.384
0.000 0.763 4.703
0.000 5.091 6.659
1.651 4.584 2.126
1.651 1.269 9.236
1.651 1.658 3.555
1.651 4.196 7.807
1.651 5.067 0.390
1.651 0.786 10.972
1.651 2.140 5.291
1.651 3.713 6.071
1.651 5.188 5.153
1.651 0.665 6.209
1.651 2.262 0.528
1.651 3.592 10.834
1.651 5.703 3.490
1.651 0.151 7.871
1.651 2.776 2.191
1.651 3.078 9.171
```

Properties
Its crystal system is orthorhombic. The total magnetic moment comes out at 1.9 μB/f.u. As for the uncorrected energy: -612.50 eV for the cell shown. The energy of formation from the pure elements is -2.57 eV per formula unit.

---

14.
YAlMo2: single point on PBEsol structure, SCAN.

Structure (POSCAR):
```
YAlMo2
1.0
2.745 0.000 0.000
0.000 5.335 -0.003
0.000 -2.317 4.805
Y Mo Al
1 2 1
Cartesian
1.372 0.000 0.000
0.000 2.667 -0.001
0.000 -1.159 2.403
1.372 1.509 2.401
```

Properties
Its crystal system is orthorhombic. The total magnetic moment comes out at 0.0 μB/f.u. As for the uncorrected energy: -103.88 eV for the cell shown. The energy of formation from the pure elements is 1.49 eV per formula unit.

---

15.
Cr2Pt: single point on PBEsol structure, SCAN.

Structure (POSCAR):
```
Cr2Pt
1.0
-0.031 -2.346 1.118
3.607 2.489 2.303
-5.209 1.559 3.125
Cr Pt
4 2
Cartesian
-0.320 1.151 5.427
-2.437 2.492 5.160
0.804 -0.790 1.386
-1.313 0.551 1.119
0.403 1.374 2.894
-2.036 0.328 3.652
```

Properties
Its crystal system is monoclinic. The total magnetic moment comes out at 0.0 μB/f.u. As for the uncorrected energy: -213.88 eV for the cell shown. The energy of formation from the pure elements is 0.02 eV per formula unit.

---

16.
SrBAs2Br: single point on PBEsol structure, SCAN.

Structure (POSCAR):
```
SrBAs2Br
1.0
-1.243 -1.175 -3.936
3.451 -2.529 -0.335
-3.175 -4.650 2.390
Sr As B Br
1 2 1 1
Cartesian
-0.483 -4.177 -0.941
1.726 -1.264 -0.168
-0.622 -0.587 -1.968
0.000 0.000 0.000
-1.587 -2.325 1.195
```

Properties
Its crystal system is tetragonal. As for the uncorrected formation energy: -205 meV/atom. The total magnetic moment comes out at 0.0 μB/f.u. As for the uncorrected energy: -90.57 eV for the cell shown.

---

17.
BeRu2Rh: single point on PBEsol structure, SCAN.

Structure (POSCAR):
```
BeRu2Rh
1.0
-0.253 1.514 -2.308
-2.246 -3.095 -1.784
-2.194 2.444 3.509
Ru Rh Be
2 1 1
Cartesian
-4.680 0.857 -0.589
-2.660 -0.811 -0.240
-2.060 1.685 -0.334
-3.430 1.650 1.459
```

Properties
Its crystal system is orthorhombic. The total magnetic moment comes out at 0.0 μB/f.u. As for the uncorrected energy: -108.35 eV for the cell shown. The energy of formation from the pure elements is -0.58 eV per formula unit.

---

18.
TaNb3V4O20: single point on PBEsol structure, SCAN.

Structure (POSCAR):
```
TaNb3V4O20
1.0
-5.138 -1.806 1.200
-0.955 -1.752 -6.726
4.357 -10.903 2.242
Ta Nb V O
1 3 4 20
Cartesian
-0.284 -7.290 0.770
-2.636 -2.155 -1.571
1.118 -6.297 -4.694
3.468 -11.404 -2.320
0.186 -11.817 -4.032
-1.562 -5.613 -2.180
0.644 -1.734 0.146
2.398 -7.947 -1.696
1.294 -11.290 1.503
-1.028 -6.093 -0.615
-0.461 -2.264 -5.381
1.870 -7.477 -3.248
0.471 -8.646 1.961
-2.123 -3.972 -2.110
0.359 -4.908 -5.854
2.954 -9.577 -1.767
-1.667 -6.814 2.018
2.593 -12.224 -0.822
0.891 -5.914 1.420
0.023 -13.128 -0.222
-1.467 -8.745 0.001
-0.882 -2.088 -0.486
-0.278 -5.719 -3.268
-0.841 -12.355 -2.801
-2.826 -6.615 -2.673
1.712 -11.457 -3.397
1.105 -7.841 -0.600
-3.469 -2.998 0.118
```

Properties
Its crystal system is monoclinic. As for the uncorrected formation energy: -2678 meV/atom. The total magnetic moment comes out at 0.0 μB/f.u. As for the uncorrected energy: -435.54 eV for the cell shown.

---

19.
Cr2FeRe: single point on PBEsol structure, SCAN.

Structure (POSCAR):
```
Cr2FeRe
1.0
2.960 0.000 0.000
0.000 4.034 0.000
0.000 0.000 4.034
Re Fe Cr
1 1 2
Cartesian
1.480 0.000 0.000
1.480 2.017 2.017
0.000 0.000 2.017
0.000 2.017 0.000
```

Properties
For the energy above the lowest structure with this stoichiometry, the calculation gives 0.035 eV per atom. Its crystal system is tetragonal. The total magnetic moment comes out at 2.9 μB/f.u. As for the uncorrected energy: -125.84 eV for the cell shown. The energy of formation from the pure elements is 0.16 eV per formula unit.

---

20.
K2ZrAlPt: single point on PBEsol structure, SCAN.

Structure (POSCAR):
```
K2ZrAlPt
1.0
4.580 0.000 0.000
0.000 6.030 0.000
0.000 0.000 6.030
K Zr Pt Al
2 1 1 1
Cartesian
0.000 0.000 3.015
0.000 3.015 0.000
2.290 3.015 3.015
2.290 0.000 0.000
0.000 0.000 0.000
```

Properties
Its crystal system is tetragonal. The total magnetic moment comes out at 3.3 μB/f.u. As for the uncorrected energy: -121.16 eV for the cell shown. The energy of formation from the pure elements is 4.14 eV per formula unit.

---

21.
As5C: single point on PBEsol structure, SCAN.

Structure (POSCAR):
```
As5C
1.0
5.072 0.000 0.000
-2.536 4.393 0.000
0.000 0.000 5.151
As C
5 1
Cartesian
2.536 1.464 0.000
0.000 2.929 0.000
1.268 2.196 2.576
-1.268 2.196 2.576
2.536 0.000 2.576
0.000 0.000 0.000
```

Properties
For the energy above the lowest structure with this stoichiometry, the calculation gives 0.598 eV per atom. Its crystal system is hexagonal. The total magnetic moment comes out at 1.4 μB/f.u. As for the uncorrected energy: -102.24 eV for the cell shown. The energy of formation from the pure elements is 8.81 eV per formula unit.

---

22.
YCdSb2Te: single point on PBEsol structure, SCAN.

Structure (POSCAR):
```
YCdSb2Te
1.0
5.655 0.000 0.000
0.000 5.724 0.000
0.000 0.000 5.724
Y Sb Te Cd
1 2 1 1
Cartesian
0.000 0.000 0.000
0.000 0.000 2.862
0.000 2.862 0.000
2.827 0.000 0.000
2.827 2.862 2.862
```

Properties
Its crystal system is tetragonal. As for the uncorrected formation energy: 240 meV/atom. The total magnetic moment comes out at 0.0 μB/f.u. As for the uncorrected energy: -168.83 eV for the cell shown.

---

23.
CsK2PdF5: single point on PBEsol structure, SCAN.

Structure (POSCAR):
```
CsK2PdF5
1.0
6.201 0.000 0.000
0.000 7.279 0.000
0.000 0.000 7.279
Cs K Pd F
2 4 2 10
Cartesian
0.000 3.639 3.639
0.000 0.000 0.000
3.101 5.995 2.356
3.101 2.356 1.284
3.101 1.284 4.923
3.101 4.923 5.995
0.000 3.639 0.000
0.000 0.000 3.639
4.797 2.679 6.319
4.797 4.600 0.960
4.797 0.960 2.679
4.797 6.319 4.600
1.404 2.679 6.319
1.404 6.319 4.600
1.404 0.960 2.679
1.404 4.600 0.960
3.101 0.000 0.000
3.101 3.639 3.639
```

Properties
Its crystal system is tetragonal. As for the uncorrected formation energy: -2495 meV/atom. The total magnetic moment comes out at 0.2 μB/f.u. As for the uncorrected energy: -254.80 eV for the cell shown.

---

24.
TcIrRh2: single point on PBEsol structure, SCAN.

Structure (POSCAR):
```
TcIrRh2
1.0
-2.629 0.525 0.021
-0.065 -0.432 2.645
1.481 7.370 1.241
Ir Rh Tc
1 2 1
Cartesian
-0.240 5.554 2.261
1.481 7.368 1.241
-0.971 1.917 1.648
0.739 3.677 0.619
```

Properties
For the energy above the lowest structure with this stoichiometry, the calculation gives 0.014 eV per atom. Its crystal system is tetragonal. The total magnetic moment comes out at 0.0 μB/f.u. As for the uncorrected energy: -174.19 eV for the cell shown. The energy of formation from the pure elements is -0.49 eV per formula unit.

---

25.
BaTe2AsCl: single point on PBEsol structure, SCAN.

Structure (POSCAR):
```
BaTe2AsCl
1.0
-4.729 0.588 1.728
-1.953 -1.433 -4.859
-0.075 -5.199 1.563
As Te Ba Cl
1 2 1 1
Cartesian
-2.365 0.294 0.864
-0.038 -2.599 0.781
-0.977 -0.716 -2.430
-3.379 -3.022 -0.784
0.000 0.000 0.000
```

Properties
Its crystal system is tetragonal. As for the uncorrected formation energy: -243 meV/atom. The total magnetic moment comes out at 0.0 μB/f.u. As for the uncorrected energy: -143.44 eV for the cell shown.